Entry 1:
# Nb2ZnHOs

Nb2ZnHOs after structural relaxation (PBE-GGA, Alexandria).

## Properties
E_tot: -36.25 eV/f.u.
energy relative to the lowest polymorph listed for this composition: 0.0000 eV per atom

Cell lengths 4.1305, 4.1305, 3.9338 Å; angles 90.00, 90.00, 90.00 degrees
Fractional positions:
H  0.0000  0.0000  0.0000
Nb  0.0000  0.5000  0.0000
Nb  0.5000  0.0000  0.0000
Zn  0.5000  0.5000  0.5000
Os  0.0000  0.0000  0.5000

=====

Entry 2:
# Nb4PH

Nb4PH after structural relaxation (PBE-GGA, Alexandria).

## Properties
E_tot: -49.51 eV/f.u.

Cell lengths 6.3278, 6.3278, 6.3278 Å; angles 106.78, 106.78, 115.01 degrees
Fractional positions:
Nb  0.7425  0.0081  0.2656
Nb  0.7581  0.9925  0.7656
Nb  0.7099  0.5176  0.1923
Nb  0.2268  0.9925  0.2344
Nb  0.2676  0.9599  0.6922
Nb  0.2676  0.5754  0.3077
Nb  0.3254  0.5176  0.8078
Nb  0.7425  0.4768  0.7344
P  0.9794  0.4794  0.5000
P  0.2294  0.2294  0.0000
H  0.5005  0.0005  0.5000
H  0.7505  0.7505  0.0000

=====

Entry 3:
# Nb2P4H

Nb2P4H after structural relaxation (PBE-GGA, Alexandria).

## Properties
E_tot: -46.41 eV/f.u.

Cell lengths 3.5294, 3.5294, 8.0430 Å; angles 77.33, 77.33, 90.00 degrees
Fractional positions:
Nb  0.3662  0.3662  0.2676
Nb  0.6338  0.6338  0.7324
P  0.0000  0.5000  0.0000
P  0.8031  0.8031  0.3938
P  0.1969  0.1969  0.6062
P  0.5000  0.0000  0.0000
H  0.0000  0.0000  0.0000

=====

Entry 4:
# Nb4PH2

Nb4PH2 after structural relaxation (PBE-GGA, Alexandria).

## Properties
E_tot: -51.13 eV/f.u.

Cell lengths 4.5535, 4.5535, 5.8828 Å; angles 67.23, 67.23, 90.00 degrees
Fractional positions:
Nb  0.0000  0.5000  0.0000
Nb  0.5000  0.0000  0.0000
Nb  0.2491  0.2491  0.5018
Nb  0.7509  0.7509  0.4982
H  0.4349  0.4349  0.1301
H  0.5651  0.5651  0.8699
P  0.0000  0.0000  0.0000